Below is crystalline DyPuAuO6 at its relaxed geometry, with properties calculated at the PBE level.

Output
The space group is No. 163. The calculation puts the formation energy (no corrections) at -1.938 eV/atom.

Lattice parameters (Å, degrees): 5.766 5.766 9.006 90.00 90.00 120.00
Each line ends with the local moment (μB).
Atoms (fractional coordinates):
Pu  0.667  0.333  0.250  -1.43
Pu  0.333  0.667  0.750  -1.43
O  0.967  0.628  0.369  0.11
O  0.628  0.967  0.869  0.11
O  0.339  0.372  0.869  0.11
O  0.967  0.339  0.131  0.11
O  0.661  0.628  0.131  0.11
O  0.339  0.967  0.631  0.11
O  0.372  0.339  0.369  0.11
O  0.372  0.033  0.131  0.11
O  0.628  0.661  0.631  0.11
O  0.033  0.372  0.631  0.11
O  0.033  0.661  0.869  0.11
O  0.661  0.033  0.369  0.11
Au  0.000  0.000  0.000  0.31
Au  0.000  0.000  0.500  0.31
Dy  0.667  0.333  0.750  0.02
Dy  0.333  0.667  0.250  0.02

Below is crystalline Na2ZnAg at its relaxed geometry, with properties calculated at the PBE level.

Output
The space group is No. 8. The formation energy is -19 meV per atom.

Lattice parameters (Å, degrees): 4.666 6.003 7.833 76.52 72.67 67.13
Atoms (fractional coordinates):
Zn  0.569  0.916  0.947
Zn  0.063  0.768  0.106
Na  0.817  0.343  0.023
Na  0.192  0.262  0.354
Na  0.818  0.838  0.526
Na  0.447  0.413  0.692
Ag  0.134  0.972  0.759
Ag  0.502  0.705  0.292

Below is crystalline Ac6Os2Pb at its relaxed geometry, with properties calculated at the PBE level.

Output
The space group is No. 71. The formation energy is -149 meV per atom.

Lattice parameters (Å, degrees): 9.324 9.324 9.324 112.43 109.76 106.28
Atoms (fractional coordinates):
Ac  0.818  0.716  0.534
Ac  0.669  0.988  0.319
Ac  0.970  0.764  0.207
Ac  0.818  0.284  0.102
Ac  0.443  0.236  0.207
Ac  0.557  0.764  0.793
Ac  0.030  0.236  0.793
Ac  0.182  0.284  0.466
Ac  0.331  0.650  0.319
Ac  0.331  0.012  0.681
Ac  0.669  0.350  0.681
Ac  0.182  0.716  0.898
Os  0.330  0.000  0.330
Os  0.113  0.613  0.500
Os  0.670  0.000  0.670
Os  0.887  0.387  0.500
Pb  0.500  0.500  0.000
Pb  0.000  0.000  0.000

Below is crystalline CaYRe2 at its relaxed geometry, with properties calculated at the PBE level.

Output
The space group is No. 10. The formation energy is 613 meV per atom. The calculation puts the energy relative to the lowest polymorph listed for this composition at 0.427 eV per atom.

Lattice parameters (Å, degrees): 4.746 3.051 6.682 74.30 90.00 90.00
Atoms (fractional coordinates):
Ca  0.500  0.750  0.750
Re  0.000  0.629  0.430
Re  0.000  0.871  0.070
Y  0.500  0.250  0.250

| no. | raw total energy (eV per atom) | spin magnetization (μB per formula unit) |
| --- | --- | --- |
| 1 | -7.711 | 0.40 |
| 2 | -1.709 | 0.00 |
| 3 | -5.796 | 0.00 |
| 4 | -7.728 | 0.00 |